Entry 1:
# Ta4BiB3, optimized geometry, DFT PBE
data_Ta4BiB3
_space_group_name_H-M_alt 'P 63/m m c'
_space_group_IT_number 194
_space_group_name_Hall '-P 6c 2c'
_cell_length_a 3.3409
_cell_length_b 3.3409
_cell_length_c 24.3011
_cell_angle_alpha 90.00
_cell_angle_beta 90.00
_cell_angle_gamma 120.00
loop_
_atom_site_label
_atom_site_type_symbol
_atom_site_fract_x
_atom_site_fract_y
_atom_site_fract_z
_atom_site_occupancy
Ta1 Ta 0.0000 0.0000 0.1542 1
Ta2 Ta 0.3333 0.6667 0.0518 1
Bi1 Bi 0.3333 0.6667 0.2500 1
B1 B 0.0000 0.0000 0.0000 1
B2 B 0.3333 0.6667 0.6074 1
# VASP energy: -9.3297 eV per atom
# density: 13.6 Mg/m³

Entry 2:
# Rb2CuBiCl6, optimized geometry, DFT PBE
data_Rb2CuBiCl6
_space_group_name_H-M_alt 'P -1'
_space_group_IT_number 2
_space_group_name_Hall '-P 1'
_cell_length_a 7.3873
_cell_length_b 7.3886
_cell_length_c 10.4509
_cell_angle_alpha 89.99
_cell_angle_beta 90.00
_cell_angle_gamma 90.00
loop_
_atom_site_label
_atom_site_type_symbol
_atom_site_fract_x
_atom_site_fract_y
_atom_site_fract_z
_atom_site_occupancy
Rb1 Rb 0.0000 0.0003 0.2502 1
Rb2 Rb 0.4999 0.5004 0.2500 1
Cu1 Cu 0.0000 0.5000 0.0000 1
Cu2 Cu 0.5000 0.0000 0.5000 1
Bi1 Bi 0.0000 0.5000 0.5000 1
Bi2 Bi 0.5000 0.0000 0.0000 1
Cl1 Cl 0.0014 0.4997 0.2389 1
Cl2 Cl 0.2320 0.2536 0.9989 1
Cl3 Cl 0.2460 0.7315 0.9996 1
Cl4 Cl 0.2573 0.7648 0.5005 1
Cl5 Cl 0.2649 0.2426 0.5010 1
Cl6 Cl 0.4985 0.0011 0.2610 1
# VASP energy: -3.3493 eV per atom
# density: 3.8 Mg/m³
# energy above the most stable polymorph in this dataset: 3 meV per atom

Entry 3:
# BeTlFeW, optimized geometry, DFT PBE
data_BeTlFeW
_space_group_name_H-M_alt 'F -4 3 m'
_space_group_IT_number 216
_space_group_name_Hall 'F -4 2 3'
_cell_length_a 6.2304
_cell_length_b 6.2304
_cell_length_c 6.2304
_cell_angle_alpha 90.00
_cell_angle_beta 90.00
_cell_angle_gamma 90.00
loop_
_atom_site_label
_atom_site_type_symbol
_atom_site_fract_x
_atom_site_fract_y
_atom_site_fract_z
_atom_site_occupancy
Be1 Be 0.0000 0.0000 0.0000 1
Tl1 Tl 0.0000 0.0000 0.5000 1
Fe1 Fe 0.2500 0.2500 0.7500 1
W1 W 0.2500 0.2500 0.2500 1
# VASP energy: -5.8511 eV per atom
# density: 12.4 Mg/m³
# energy above the most stable polymorph in this dataset: 286 meV per atom

Entry 4:
# SrZn2Te2F2, optimized geometry, DFT PBE
data_SrZn2Te2F2
_space_group_name_H-M_alt 'P -4 m 2'
_space_group_IT_number 115
_space_group_name_Hall 'P -4 -2'
_cell_length_a 3.8620
_cell_length_b 3.8620
_cell_length_c 10.0796
_cell_angle_alpha 90.00
_cell_angle_beta 90.00
_cell_angle_gamma 90.00
loop_
_atom_site_label
_atom_site_type_symbol
_atom_site_fract_x
_atom_site_fract_y
_atom_site_fract_z
_atom_site_occupancy
Sr1 Sr 0.0000 0.0000 0.0000 1
Zn1 Zn 0.0000 0.5000 0.6218 1
Te1 Te 0.0000 0.5000 0.2432 1
F1 F 0.0000 0.0000 0.5000 1
F2 F 0.5000 0.5000 0.5000 1
# VASP energy: -3.1238 eV per atom
# density: 5.7 Mg/m³

Entry 5:
# SiIrNO, optimized geometry, DFT PBE
data_SiIrNO
_space_group_name_H-M_alt 'P c a 21'
_space_group_IT_number 29
_space_group_name_Hall 'P 2c -2ac'
_cell_length_a 4.9863
_cell_length_b 7.5078
_cell_length_c 5.2121
_cell_angle_alpha 90.00
_cell_angle_beta 90.00
_cell_angle_gamma 90.00
loop_
_atom_site_label
_atom_site_type_symbol
_atom_site_fract_x
_atom_site_fract_y
_atom_site_fract_z
_atom_site_occupancy
Si1 Si 0.2108 0.2106 0.0000 1
Ir1 Ir 0.0424 0.5632 0.9287 1
N1 N 0.0989 0.6756 0.5705 1
O1 O 0.2027 0.0828 0.7438 1
# VASP energy: -7.6896 eV per atom
# density: 8.5 Mg/m³
# energy above the most stable polymorph in this dataset: 121 meV per atom

Entry 6:
# SmMgPb2, optimized geometry, DFT PBE
data_SmMgPb2
_space_group_name_H-M_alt 'P 4/m m m'
_space_group_IT_number 123
_space_group_name_Hall '-P 4 2'
_cell_length_a 4.9282
_cell_length_b 4.9282
_cell_length_c 4.5011
_cell_angle_alpha 90.00
_cell_angle_beta 90.00
_cell_angle_gamma 90.00
loop_
_atom_site_label
_atom_site_type_symbol
_atom_site_fract_x
_atom_site_fract_y
_atom_site_fract_z
_atom_site_occupancy
Sm1 Sm 0.0000 0.0000 0.0000 1
Mg1 Mg 0.5000 0.5000 0.0000 1
Pb1 Pb 0.0000 0.5000 0.5000 1
# VASP energy: -3.7957 eV per atom
# density: 8.9 Mg/m³